Record 1
Below is a relaxed structure of Al2Cd2Ag7, with properties calculated at the GGA-PBE level.

Computed properties:
As for the total magnetic moment: 0.000 μB per cell. Its calculated density is 7.91 g/cm3. Its total energy is -27.76 eV for the cell shown. The calculation puts the formation energy at 0.1380 eV per atom. The relative energy among the computed polymorphs is 157 meV per atom.

a = 6.590 Å, b = 6.590 Å, c = 5.501 Å
α = 97.61°, β = 97.61°, γ = 110.88°
Element x y z (fractional)
1 Al 0.167 0.167 0.173
2 Al 0.833 0.833 0.827
3 Cd 0.371 0.629 0.500
4 Cd 0.629 0.371 0.500
5 Ag 0.070 0.585 0.801
6 Ag 0.161 0.161 0.676
7 Ag 0.415 0.930 0.199
8 Ag 0.500 0.500 0.000
9 Ag 0.585 0.070 0.801
10 Ag 0.839 0.839 0.324
11 Ag 0.930 0.415 0.199

Record 2
Below is a relaxed structure of Al2Cd2Ag7, with properties calculated at the GGA-PBE level.

Computed properties:
As for the total magnetic moment: 0.000 μB per cell. Its calculated density is 8.49 g/cm3. Its total energy is -29.49 eV for the cell shown. The calculation puts the formation energy at -0.0193 eV per atom. The relative energy among the computed polymorphs is 0 meV per atom.

a = 7.685 Å, b = 7.685 Å, c = 7.685 Å
α = 147.05°, β = 66.56°, γ = 123.96°
Element x y z (fractional)
1 Al 0.197 0.000 0.197
2 Al 0.803 0.000 0.803
3 Cd 0.487 0.987 0.500
4 Cd 0.795 0.795 0.000
5 Ag 0.047 0.706 0.342
6 Ag 0.189 0.189 0.000
7 Ag 0.336 0.490 0.846
8 Ag 0.364 0.706 0.658
9 Ag 0.625 0.282 0.343
10 Ag 0.645 0.490 0.154
11 Ag 0.940 0.282 0.657

Record 3
Below is a relaxed structure of AlCd3Ag, with properties calculated at the GGA-PBE level.

Computed properties:
As for the total magnetic moment: 0.000 μB per cell. Its calculated density is 5.42 g/cm3. Its total energy is -7.07 eV for the cell shown. The calculation puts the formation energy at 0.4540 eV per atom. The relative energy among the computed polymorphs is 0 meV per atom.

a = 5.250 Å, b = 5.250 Å, c = 5.250 Å
α = 90.00°, β = 90.00°, γ = 90.00°
Element x y z (fractional)
1 Al 0.000 0.000 0.000
2 Cd 0.000 0.500 0.500
3 Cd 0.500 0.000 0.500
4 Cd 0.500 0.500 0.000
5 Ag 0.500 0.500 0.500

Record 4
Below is a relaxed structure of Al2CdAg, with properties calculated at the GGA-PBE level.

Computed properties:
As for the total magnetic moment: 0.000 μB per cell. Its calculated density is 6.15 g/cm3. Its total energy is -10.92 eV for the cell shown. The calculation puts the formation energy at 0.0840 eV per atom.

a = 4.206 Å, b = 4.206 Å, c = 5.040 Å
α = 112.00°, β = 112.00°, γ = 94.59°
Element x y z (fractional)
1 Al 0.000 0.000 0.000
2 Al 0.750 0.250 0.500
3 Cd 0.499 0.501 0.000
4 Ag 0.247 0.753 0.500

Number 2 is which compound? Al2Cd2Ag7

Which value of total magnetic moment does entry 3 give? 0.000 μB per cell